# 1
Below is a geometry-optimized SmEr2Tl9 structure, with properties calculated at the PBE-GGA level.

Cell: 4.7708 4.7708 14.3088 Å, 90.00 90.00 90.00°
Positions (direct):
Sm (0.0000, 0.0000, 0.0000)
Er (0.0000, 0.0000, 0.3341)
Er (0.0000, 0.0000, 0.6659)
Tl (0.0000, 0.5000, 0.1694)
Tl (0.0000, 0.5000, 0.5000)
Tl (0.0000, 0.5000, 0.8306)
Tl (0.5000, 0.0000, 0.1694)
Tl (0.5000, 0.0000, 0.5000)
Tl (0.5000, 0.0000, 0.8306)
Tl (0.5000, 0.5000, 0.0000)
Tl (0.5000, 0.5000, 0.3343)
Tl (0.5000, 0.5000, 0.6657)

Summary:
- Space-group type: P4/mmm, No. 123
- Density of states at the Fermi level: 0.221 states/eV per atom
- VASP energy: -3.1602 eV/atom

# 2
Below is a geometry-optimized SmEr3Tl structure, with properties calculated at the PBE-GGA level.

Cell: 12.8933 12.8933 4.7955 Å, 90.00 90.00 158.44°
Positions (direct):
Sm (0.1481, 0.8519, 0.7500)
Sm (0.8519, 0.1481, 0.2500)
Er (0.0466, 0.9534, 0.2500)
Er (0.2506, 0.7494, 0.2500)
Er (0.4490, 0.5510, 0.2500)
Er (0.5510, 0.4490, 0.7500)
Er (0.7494, 0.2506, 0.7500)
Er (0.9534, 0.0466, 0.7500)
Tl (0.3470, 0.6530, 0.7500)
Tl (0.6530, 0.3470, 0.2500)

Summary:
- Space-group type: Cmcm, No. 63
- Energy above the lowest structure with this stoichiometry: 0 meV per atom
- Density of states at the Fermi level: 1.277 states/eV per atom

Number 1: size of the total moment 0.000 μB/atom. Number 2: size of the total moment 0.047 μB/atom.